# 1
First-principles (PBE with a Hubbard U) data for Mn2BiSbO6 after structural relaxation, as listed in the Alexandria database.

- DFT total energy: -66.44 eV/f.u.
- Fermi-level density of states: 4.207 states/eV per cell
- Volume: 13.1 A^3/atom

a = 5.6401 Å, b = 5.6401 Å, c = 14.2172 Å
α = 90.00°, β = 90.00°, γ = 120.00°
Space group R3 (No. 146, hexagonal axes)
Unique sites:
Mn1 0.0000 0.0000 0.0000 (multiplicity 3)
Mn2 0.0000 0.0000 0.4896 (multiplicity 3)
Bi1 0.0000 0.0000 0.2105 (multiplicity 3)
Sb1 0.0000 0.0000 0.6988 (multiplicity 3)
O1 0.0214 0.5759 0.2634 (multiplicity 9)
O2 0.0249 0.4480 0.7569 (multiplicity 9)

=====

# 2
First-principles (PBE with a Hubbard U) data for MnBiSbO6 after structural relaxation, as listed in the Alexandria database.

- DFT total energy: -56.69 eV/f.u.
- Fermi-level density of states: 4.226 states/eV per cell
- Volume: 12.9 A^3/atom

a = 4.847 Å, b = 4.847 Å, c = 9.921 Å
α = 90.00°, β = 90.00°, γ = 90.00°
Space group P4_2nm (No. 102)
Unique sites:
Mn1 0.000 0.000 0.000 (multiplicity 2)
Bi1 0.000 0.000 0.670 (multiplicity 2)
Sb1 0.000 0.000 0.336 (multiplicity 2)
O1 0.183 0.183 0.176 (multiplicity 4)
O2 0.196 0.196 0.492 (multiplicity 4)
O3 0.206 0.206 0.839 (multiplicity 4)

=====

Among the records above, which one has the lowest volume? MnBiSbO6

=====

Among the records above, which one has the lowest volume? MnBiSbO6